A plane-wave DFT calculation with GGA+U was carried out for a relaxed structure of TiVCr2O6.

Cell and atoms, written as extended XYZ:
```
10
Lattice="-2.641 1.612 -4.159 -4.937 -1.637 -0.991 -3.999 3.606 0.874" Properties=species:S:1:pos:R:3 pbc="T T T"
O -5.575 2.144 -0.297
O -6.320 1.580 -4.193
O -6.156 -0.270 -1.642
O -5.440 3.652 -2.366
O -3.666 1.486 -2.502
Cr -3.917 3.322 0.686
Ti -2.539 0.282 -1.466
O -7.661 2.167 -1.904
V -8.362 1.934 -3.696
Cr -5.747 1.677 -2.246
```

Calculated values
total DFT energy (no corrections)	-8.218	eV per atom